CeSmDyTl PBE relaxed; DOS at the Fermi energy = 1.712 states/eV per atom; crystal system = cubic; VASP energy = -17.58 eV for the cell shown
1.0
5.447 0.000 0.000
2.723 4.717 0.000
2.723 1.572 4.447
Tl Dy Sm Ce
1 1 1 1
Cartesian
2.723 1.572 1.112
5.447 3.145 2.224
0.000 0.000 0.000
8.170 4.717 3.335

---

CeSm6Dy2Tm PBE relaxed; DOS at the Fermi energy = 2.246 states/eV per atom; crystal system = monoclinic; VASP energy = -45.46 eV for the cell shown
1.0
-4.269 -7.084 -3.049
3.060 -3.924 4.834
-4.975 4.157 1.546
Dy Sm Ce Tm
2 6 1 1
Cartesian
-4.844 -6.045 3.137
-1.340 -0.807 0.193
-5.079 -2.483 1.199
-1.106 -4.369 2.131
-2.311 -1.031 3.254
-2.258 -7.893 2.628
-3.873 -5.821 0.076
-3.926 1.041 0.702
1.530 -1.962 2.417
-2.135 -3.542 -1.525

---

CeSmDy2Tm4 PBE relaxed; DOS at the Fermi energy = 1.607 states/eV per atom; crystal system = orthorhombic; VASP energy = -37.37 eV for the cell shown
1.0
-1.298 4.149 2.498
-3.941 -2.395 1.929
1.563 -5.282 9.585
Tm Sm Ce Dy
4 1 1 2
Cartesian
-3.199 -1.049 5.113
-1.797 -5.750 8.617
-1.879 2.223 5.396
-0.478 -2.478 8.900
-2.620 0.877 2.214
-1.189 -3.838 5.757
0.132 -0.566 6.042
1.563 -5.282 9.585